Record 1
VASP calculation (PBE) on a geometry-optimized ZrInTe2 structure.

a = 3.838 Å, b = 3.838 Å, c = 7.689 Å
α = 90.00°, β = 90.00°, γ = 90.00°
Space group P4mm (No. 99)
Unique sites:
Zr (0.000, 0.000, 0.000) (multiplicity 1)
In (0.500, 0.500, 0.238) (multiplicity 1)
Te (0.000, 0.000, 0.400) (multiplicity 1)
Te (0.500, 0.500, 0.814) (multiplicity 1)

Summary:
The total energy comes out at -4.72 eV per atom. The raw formation energy is -0.328 eV/atom.


Record 2
VASP calculation (PBE) on a geometry-optimized AcMg2ZnAg2 structure.

a = 5.222 Å, b = 5.222 Å, c = 11.670 Å
α = 90.00°, β = 90.00°, γ = 90.00°
Space group I4/mmm (No. 139)
Unique sites:
Ac (0.000, 0.000, 0.000) (multiplicity 2)
Mg (0.000, 0.500, 0.250) (multiplicity 4)
Zn (0.000, 0.000, 0.500) (multiplicity 2)
Ag (0.000, 0.000, 0.287) (multiplicity 4)

Summary:
For the formation energy from the elements, the calculation gives -0.004 eV/atom. The total energy comes out at -2.38 eV per atom.